# Sr3FeN3, single point on PBEsol structure, DFT SCAN
# - uncorrected formation energy (eV/f.u.) = -5.9
# - E (eV/atom) = -16.964
# - symmetry = P6_3/m
# - N(E_F) (states/eV per cell) = 2.16
data_Sr3FeN3
_cell_length_a 7.523
_cell_length_b 7.523
_cell_length_c 5.248
_cell_angle_alpha 90.00
_cell_angle_beta 90.00
_cell_angle_gamma 120.00
_symmetry_space_group_name_H-M 'P 1'
_symmetry_Int_Tables_number 1
_symmetry_space_group_name_Hall 'P 1'
loop_
_atom_site_label
_atom_site_fract_x
_atom_site_fract_y
_atom_site_fract_z
Sr1 0.088 0.361 0.250
Sr2 0.273 0.912 0.250
Sr3 0.361 0.273 0.750
Sr4 0.639 0.727 0.250
Sr5 0.727 0.088 0.750
Sr6 0.912 0.639 0.750
Fe1 0.333 0.667 0.750
Fe2 0.667 0.333 0.250
N1 0.115 0.428 0.750
N2 0.313 0.885 0.750
N3 0.428 0.313 0.250
N4 0.572 0.687 0.750
N5 0.687 0.115 0.250
N6 0.885 0.572 0.250

# SrFe2N2, single point on PBEsol structure, DFT SCAN
# - uncorrected formation energy (eV/f.u.) = -1.0
# - E (eV/atom) = -15.624
# - symmetry = P-3m1
# - N(E_F) (states/eV per cell) = 1.56
data_SrFe2N2
_cell_length_a 3.281
_cell_length_b 3.281
_cell_length_c 6.153
_cell_angle_alpha 90.00
_cell_angle_beta 90.00
_cell_angle_gamma 120.00
_symmetry_space_group_name_H-M 'P 1'
_symmetry_Int_Tables_number 1
_symmetry_space_group_name_Hall 'P 1'
loop_
_atom_site_label
_atom_site_fract_x
_atom_site_fract_y
_atom_site_fract_z
Sr1 0.000 0.000 0.000
Fe1 0.333 0.667 0.385
Fe2 0.667 0.333 0.615
N1 0.333 0.667 0.690
N2 0.667 0.333 0.310

- Look up the uncorrected formation energy of the second one.
  -1.0 eV/f.u.

Repeat the first record exactly.
# Sr3FeN3, single point on PBEsol structure, DFT SCAN
# - uncorrected formation energy (eV/f.u.) = -5.9
# - E (eV/atom) = -16.964
# - symmetry = P6_3/m
# - N(E_F) (states/eV per cell) = 2.16
data_Sr3FeN3
_cell_length_a 7.523
_cell_length_b 7.523
_cell_length_c 5.248
_cell_angle_alpha 90.00
_cell_angle_beta 90.00
_cell_angle_gamma 120.00
_symmetry_space_group_name_H-M 'P 1'
_symmetry_Int_Tables_number 1
_symmetry_space_group_name_Hall 'P 1'
loop_
_atom_site_label
_atom_site_fract_x
_atom_site_fract_y
_atom_site_fract_z
Sr1 0.088 0.361 0.250
Sr2 0.273 0.912 0.250
Sr3 0.361 0.273 0.750
Sr4 0.639 0.727 0.250
Sr5 0.727 0.088 0.750
Sr6 0.912 0.639 0.750
Fe1 0.333 0.667 0.750
Fe2 0.667 0.333 0.250
N1 0.115 0.428 0.750
N2 0.313 0.885 0.750
N3 0.428 0.313 0.250
N4 0.572 0.687 0.750
N5 0.687 0.115 0.250
N6 0.885 0.572 0.250